DFT (PBE) results for Nd8Co2Ni after structural relaxation.

Cell: 6.5105 7.3323 7.3323 Å, 107.49 101.52 101.52°
Sites, in units of the cell vectors:
Nd  0.6078  0.3557  0.0771
Nd  0.6078  0.0771  0.3557
Nd  0.1992  0.3679  0.3679
Nd  0.9652  0.1814  0.8151
Nd  0.9652  0.8151  0.1814
Nd  0.7718  0.6362  0.6362
Nd  0.3390  0.9300  0.6454
Nd  0.3390  0.6454  0.9300
Co  0.4904  0.6906  0.3198
Co  0.4904  0.3198  0.6906
Ni  0.2239  0.0148  0.0148

Summary:
magnetization = 0.000 μB per atom
calculated volume = 28.6 Å³/atom
energy relative to the elements = 0.4 kJ/mol of atoms
DOS(E_F) = 10.4 states/eV per cell